Entry 1:
Compound: K2SrU3Se8
Source: the Alexandria database
Functional: PBE
Structure: relaxed

a = 8.605 Å, b = 8.605 Å, c = 9.149 Å
α = 61.95°, β = 61.95°, γ = 60.00°
Element x y z (fractional)
K (0.130, 0.130, 0.609)
K (0.498, 0.498, 0.507)
Sr (0.876, 0.876, 0.372)
U (0.499, 0.002, 0.001)
U (0.002, 0.499, 0.001)
U (0.499, 0.499, 0.001)
Se (0.268, 0.268, 0.196)
Se (0.736, 0.736, 0.793)
Se (0.244, 0.244, 0.812)
Se (0.700, 0.244, 0.812)
Se (0.244, 0.700, 0.812)
Se (0.752, 0.293, 0.202)
Se (0.293, 0.752, 0.202)
Se (0.752, 0.752, 0.202)

- symmetry = R3m, No. 160
- DOS(E_F) (states/eV/atom) = 0.8866
- E (eV for the cell shown) = -83.43
- energy relative to the elements, uncorrected (eV per atom) = -1.2724

---

Entry 2:
Compound: Ag3BiAu3
Source: the Alexandria database
Functional: PBE
Structure: relaxed

a = 7.408 Å, b = 7.408 Å, c = 7.408 Å
α = 90.00°, β = 90.00°, γ = 90.00°
Element x y z (fractional)
Au (0.000, 0.250, 0.500)
Au (0.000, 0.750, 0.500)
Au (0.500, 0.000, 0.750)
Au (0.750, 0.500, 0.000)
Au (0.500, 0.000, 0.250)
Au (0.250, 0.500, 0.000)
Bi (0.500, 0.500, 0.500)
Bi (0.000, 0.000, 0.000)
Ag (0.250, 0.000, 0.500)
Ag (0.000, 0.500, 0.250)
Ag (0.500, 0.750, 0.000)
Ag (0.750, 0.000, 0.500)
Ag (0.000, 0.500, 0.750)
Ag (0.500, 0.250, 0.000)

- symmetry = Pm-3n, No. 223
- DOS(E_F) (states/eV/atom) = 0.5172
- E (eV for the cell shown) = -34.97
- offset from the most stable computed form (meV per atom) = 657
- ΔE_f (kJ/mol of atoms) = 66

---

Entry 3:
Compound: UHg3Te2Cl6
Source: the Alexandria database
Functional: PBE
Structure: relaxed

a = 7.034 Å, b = 7.907 Å, c = 9.244 Å
α = 115.32°, β = 114.50°, γ = 90.00°
Element x y z (fractional)
U (0.500, 0.000, 0.000)
Hg (0.000, 0.500, 0.000)
Hg (0.500, 0.500, 0.500)
Hg (0.500, 0.000, 0.500)
Te (0.195, 0.686, 0.371)
Te (0.805, 0.314, 0.629)
Cl (0.738, 0.345, 0.217)
Cl (0.262, 0.655, 0.783)
Cl (0.733, 0.913, 0.825)
Cl (0.267, 0.087, 0.175)
Cl (0.262, 0.129, 0.783)
Cl (0.738, 0.871, 0.217)

- symmetry = C2/m, No. 12
- DOS(E_F) (states/eV/atom) = 0.5555
- E (eV for the cell shown) = -41.02
- offset from the most stable computed form (meV per atom) = 41
- energy relative to the elements, uncorrected (eV per atom) = -0.9553

---

Entry 4:
Compound: BaSrPb2O6
Source: the Alexandria database
Functional: PBE
Structure: relaxed

a = 6.062 Å, b = 6.128 Å, c = 8.611 Å
α = 90.00°, β = 90.00°, γ = 90.00°
Element x y z (fractional)
Ba (0.260, 0.965, 0.000)
Ba (0.740, 0.465, 0.000)
Sr (0.242, 0.044, 0.500)
Sr (0.758, 0.544, 0.500)
Pb (0.250, 0.500, 0.744)
Pb (0.750, 0.000, 0.256)
Pb (0.250, 0.500, 0.256)
Pb (0.750, 0.000, 0.744)
O (0.041, 0.787, 0.695)
O (0.959, 0.287, 0.305)
O (0.457, 0.207, 0.215)
O (0.543, 0.707, 0.785)
O (0.457, 0.207, 0.785)
O (0.543, 0.707, 0.215)
O (0.041, 0.787, 0.305)
O (0.959, 0.287, 0.695)
O (0.181, 0.511, 0.000)
O (0.819, 0.011, 0.000)
O (0.347, 0.457, 0.500)
O (0.653, 0.957, 0.500)

- symmetry = Pmc2_1, No. 26
- E (eV for the cell shown) = -115.68
- energy relative to the elements, uncorrected (eV per atom) = -1.7068

---

Entry 5:
Compound: FeSiHgBiH
Source: the Alexandria database
Functional: PBE
Structure: relaxed

a = 3.182 Å, b = 3.142 Å, c = 8.842 Å
α = 85.07°, β = 86.27°, γ = 89.89°
Element x y z (fractional)
Fe (0.793, 0.692, 0.769)
Si (0.280, 0.171, 0.849)
Hg (0.181, 0.129, 0.160)
Bi (0.818, 0.255, 0.506)
H (0.744, 0.664, 0.943)

- symmetry = P1, No. 1
- DOS(E_F) (states/eV/atom) = 0.3542
- E (eV for the cell shown) = -20.83
- offset from the most stable computed form (meV per atom) = 0

---

Entry 6:
Compound: Pr4AgN2
Source: the Alexandria database
Functional: PBE
Structure: relaxed

a = 3.773 Å, b = 6.596 Å, c = 13.585 Å
α = 90.00°, β = 90.00°, γ = 106.62°
Element x y z (fractional)
Pr (0.763, 0.527, 0.104)
Pr (0.763, 0.527, 0.396)
Pr (0.237, 0.473, 0.896)
Pr (0.237, 0.473, 0.604)
Pr (0.925, 0.850, 0.750)
Pr (0.075, 0.150, 0.250)
Pr (0.500, 0.000, 0.000)
Pr (0.500, 0.000, 0.500)
Ag (0.610, 0.221, 0.750)
Ag (0.390, 0.779, 0.250)
N (0.140, 0.280, 0.445)
N (0.860, 0.720, 0.945)
N (0.140, 0.280, 0.055)
N (0.860, 0.720, 0.555)

- symmetry = Cmcm, No. 63
- DOS(E_F) (states/eV/atom) = 1.0834
- E (eV for the cell shown) = -87.51
- energy relative to the elements, uncorrected (eV per atom) = -0.7334

---

Entry 7:
Compound: PmNd2Mg
Source: the Alexandria database
Functional: PBE
Structure: relaxed

a = 3.533 Å, b = 3.533 Å, c = 12.797 Å
α = 82.07°, β = 82.07°, γ = 60.00°
Element x y z (fractional)
Mg (0.000, 0.000, 0.000)
Nd (0.089, 0.089, 0.734)
Nd (0.911, 0.911, 0.266)
Pm (0.500, 0.500, 0.500)

- symmetry = R-3m, No. 166
- DOS(E_F) (states/eV/atom) = 1.1532
- E (eV for the cell shown) = -15.10
- offset from the most stable computed form (meV per atom) = 235
- ΔE_f (kJ/mol of atoms) = 19

---

Entry 8:
Compound: NdTm4In
Source: the Alexandria database
Functional: PBE
Structure: relaxed

a = 8.648 Å, b = 8.648 Å, c = 8.648 Å
α = 98.87°, β = 98.87°, γ = 133.77°
Element x y z (fractional)
Nd (0.811, 0.811, 0.000)
Nd (0.561, 0.061, 0.500)
Tm (0.221, 0.964, 0.743)
Tm (0.722, 0.463, 0.742)
Tm (0.714, 0.471, 0.243)
Tm (0.213, 0.972, 0.242)
Tm (0.227, 0.471, 0.757)
Tm (0.730, 0.972, 0.758)
Tm (0.722, 0.980, 0.258)
Tm (0.221, 0.477, 0.257)
In (0.304, 0.304, 0.000)
In (0.054, 0.554, 0.500)

- symmetry = I4_1md, No. 109
- DOS(E_F) (states/eV/atom) = 1.3366
- E (eV for the cell shown) = -44.75
- offset from the most stable computed form (meV per atom) = 647
- ΔE_f (kJ/mol of atoms) = 48